1.
A relaxed Ce2Ge2Bi crystal, computed with PBE-GGA.

## Properties
Total magnetization (Bohr magnetons per cell): 3.760
ΔH_f (0 K) (kJ/mol of atoms): -62.3
D(E_F) (states/eV per atom): 2.52
Energy above the lowest structure with this stoichiometry (eV/atom): 0.0187

Geometry as CIF:
```
data_Ce2Ge2Bi
_chemical_formula_sum 'Ce4 Ge4 Bi2'
_space_group_name_H-M_alt 'P 4/m b m'
_space_group_IT_number 127
_space_group_name_Hall '-P 4 2ab'
_cell_length_a 7.728
_cell_length_b 7.728
_cell_length_c 4.303
_cell_angle_alpha 90.00
_cell_angle_beta 90.00
_cell_angle_gamma 90.00
loop_
_atom_site_label
_atom_site_fract_x
_atom_site_fract_y
_atom_site_fract_z
Ce1 0.180 0.320 0.000
Ge1 0.116 0.616 0.500
Bi1 0.000 0.000 0.500
```


2.
A relaxed TlH4I crystal, computed with PBE-GGA.

## Properties
Total magnetization (Bohr magnetons per cell): 0.000
E_tot (eV/atom): -3.09
D(E_F) (states/eV per atom): 0.00

Geometry as CIF:
```
data_TlH4I
_chemical_formula_sum 'Tl2 H8 I2'
_space_group_name_H-M_alt 'C 1 2/m 1'
_space_group_IT_number 12
_space_group_name_Hall '-C 2y'
_cell_length_a 13.830
_cell_length_b 4.894
_cell_length_c 4.897
_cell_angle_alpha 90.00
_cell_angle_beta 107.92
_cell_angle_gamma 90.00
loop_
_atom_site_label
_atom_site_fract_x
_atom_site_fract_y
_atom_site_fract_z
Tl1 0.000 0.000 0.000
H1 0.227 0.500 0.102
H2 0.234 0.000 0.753
I1 0.000 0.500 0.500
```


3.
A relaxed Th6Ge2RuSe3 crystal, computed with PBE-GGA.

## Properties
Total magnetization (Bohr magnetons per cell): 0.000
E_form (uncorrected) (eV per formula unit): -13.780
D(E_F) (states/eV per atom): 0.68

Geometry as CIF:
```
data_Th6Ge2RuSe3
_chemical_formula_sum 'Th12 Ge4 Ru2 Se6'
_space_group_name_H-M_alt 'C 1 2/m 1'
_space_group_IT_number 12
_space_group_name_Hall '-C 2y'
_cell_length_a 18.488
_cell_length_b 4.204
_cell_length_c 8.620
_cell_angle_alpha 90.00
_cell_angle_beta 102.68
_cell_angle_gamma 90.00
loop_
_atom_site_label
_atom_site_fract_x
_atom_site_fract_y
_atom_site_fract_z
Th1 0.000 0.000 0.228
Th2 0.158 0.500 0.086
Th3 0.169 0.500 0.579
Ge1 0.166 0.000 0.335
Ru1 0.000 0.500 0.000
Se1 0.000 0.500 0.500
Se2 0.172 0.000 0.835
```


4.
A relaxed LiUI6 crystal, computed with PBE-GGA.

## Properties
Total magnetization (Bohr magnetons per cell): 2.000
E_form (uncorrected) (eV per formula unit): -6.995
Energy above the lowest structure with this stoichiometry (eV/atom): 0.0000

Geometry as CIF:
```
data_LiUI6
_chemical_formula_sum 'Li2 U2 I12'
_space_group_name_H-M_alt 'C 1 2/m 1'
_space_group_IT_number 12
_space_group_name_Hall '-C 2y'
_cell_length_a 7.926
_cell_length_b 13.698
_cell_length_c 7.185
_cell_angle_alpha 90.00
_cell_angle_beta 90.53
_cell_angle_gamma 90.00
loop_
_atom_site_label
_atom_site_fract_x
_atom_site_fract_y
_atom_site_fract_z
Li1 0.000 0.000 0.000
U1 0.000 0.000 0.500
I1 0.149 0.149 0.744
I2 0.202 0.500 0.739
```


5.
A relaxed Pr6GeBr3N2 crystal, computed with PBE-GGA.

## Properties
Total magnetization (Bohr magnetons per cell): 0.000
E_form (uncorrected) (eV per formula unit): -15.203
D(E_F) (states/eV per atom): 0.39

Geometry as CIF:
```
data_Pr6GeBr3N2
_chemical_formula_sum 'Pr12 Ge2 Br6 N4'
_space_group_name_H-M_alt 'C 1 2/m 1'
_space_group_IT_number 12
_space_group_name_Hall '-C 2y'
_cell_length_a 18.942
_cell_length_b 3.954
_cell_length_c 8.738
_cell_angle_alpha 90.00
_cell_angle_beta 111.27
_cell_angle_gamma 90.00
loop_
_atom_site_label
_atom_site_fract_x
_atom_site_fract_y
_atom_site_fract_z
Pr1 0.031 0.000 0.253
Pr2 0.166 0.500 0.142
Pr3 0.185 0.500 0.548
Ge1 0.000 0.500 0.000
Br1 0.000 0.500 0.500
Br2 0.163 0.000 0.829
N1 0.173 0.000 0.341
```


6.
A relaxed ZnSiNi crystal, computed with PBE-GGA.

## Properties
Total magnetization (Bohr magnetons per cell): 0.000
E_form (uncorrected) (eV per formula unit): -0.361
D(E_F) (states/eV per atom): 0.26

Geometry as CIF:
```
data_ZnSiNi
_chemical_formula_sum 'Zn2 Si2 Ni2'
_space_group_name_H-M_alt 'I 4 m m'
_space_group_IT_number 107
_space_group_name_Hall 'I 4 -2'
_cell_length_a 2.672
_cell_length_b 2.672
_cell_length_c 10.891
_cell_angle_alpha 90.00
_cell_angle_beta 90.00
_cell_angle_gamma 90.00
loop_
_atom_site_label
_atom_site_fract_x
_atom_site_fract_y
_atom_site_fract_z
Zn1 0.000 0.000 0.000
Si1 0.000 0.000 0.302
Ni1 0.000 0.000 0.667
```